## Ca3LaHo2Te6 (PBE-GGA)

Data for a relaxed Ca3LaHo2Te6 crystal.

Calculated values
The final energy comes out at -4.728 eV per atom. Its total moment is 0.00 μB per formula unit. The value obtained for the raw formation energy is -143 kJ/mol of atoms.

```
data_Ca3LaHo2Te6
_space_group_name_H-M_alt 'C 1 2/m 1'
_space_group_IT_number 12
_cell_length_a 7.681
_cell_length_b 13.292
_cell_length_c 7.804
_cell_angle_alpha 90.00
_cell_angle_beta 109.22
_cell_angle_gamma 90.00
loop_
_space_group_symop_operation_xyz
'x,y,z'
'-x,-y,-z'
'-x,y,-z'
'x,-y,z'
'x+1/2,y+1/2,z'
'-x+1/2,-y+1/2,-z'
'-x+1/2,y+1/2,-z'
'x+1/2,-y+1/2,z'
loop_
_atom_site_label
_atom_site_fract_x
_atom_site_fract_y
_atom_site_fract_z
_atom_site_occupancy
Ca1 0.000 0.000 0.000 1
Ca2 0.000 0.338 0.000 1
La1 0.000 0.500 0.500 1
Ho1 0.000 0.168 0.500 1
Te1 0.237 0.000 0.746 1
Te2 0.244 0.172 0.250 1
```